The following is a DFT calculation (GGA-PBE) of a relaxed Ac3TbBi4 crystal.

Lattice parameters (Å, degrees): 4.7935 8.2902 8.2902 109.44 90.00 90.00
Positions (direct):
Ac 0.0000 0.5000 0.0000
Bi 0.0000 0.2355 0.2355
Bi 0.5000 0.2424 0.7576
Bi 0.0000 0.7645 0.7645
Ac 0.5000 0.5000 0.5000
Tb 0.5000 0.0000 0.0000
Bi 0.5000 0.7576 0.2424
Ac 0.0000 0.0000 0.5000



The following is a DFT calculation (GGA-PBE) of a relaxed Ac5TbBi6 crystal.

Lattice parameters (Å, degrees): 8.3487 8.3487 8.3495 99.62 99.62 120.01
Positions (direct):
Bi 0.4017 0.0799 0.2414
Bi 0.9201 0.5983 0.7586
Bi 0.2390 0.2390 0.7548
Ac 0.1702 0.8298 0.5000
Bi 0.7610 0.7610 0.2452
Ac 0.3347 0.6653 0.0000
Bi 0.5983 0.9201 0.7586
Ac 0.8298 0.1702 0.5000
Ac 0.5000 0.5000 0.5000
Tb 0.0000 0.0000 0.0000
Ac 0.6653 0.3347 0.0000
Bi 0.0799 0.4017 0.2414



The records above give, respectively, volume values of 38.8; 39.6 A^3/atom.
The records above give, respectively, formation energy values of -948; -966 meV per atom.